Ca2Ag2WO6 | GGA+U | optimized geometry

Cell and atoms, written as POSCAR:
```
Ca2Ag2WO6
1.0
-1.3259 0.0732 5.5596
-1.0369 -4.8217 -2.8893
6.2684 0.3365 0.0194
Ca Ag W O
2 2 1 6
Cartesian
1.9998 -3.0025 -0.0299
1.9058 -1.4095 2.7196
-1.2690 -0.8901 3.8969
-1.0938 -3.8584 -1.2266
3.1342 0.1683 0.0097
2.4544 -3.6570 2.2027
3.8029 -1.5782 -0.6001
1.4512 -0.7550 0.4871
3.7188 -0.1528 1.8602
0.1026 -2.8338 3.2898
0.1868 -4.2592 0.8295
```

Values from the calculation:
Space-group type: C2/m, No. 12
Total DFT energy (no corrections) (eV per atom): -6.06
Calculated density (g/cm³): 5.8